Se: optimized geometry, PBE.

abc: 6.464 8.596 6.194
angles: 90.00 127.70 90.00
Fractional positions:
1 Se 0.170 0.854 0.371
2 Se 0.330 0.854 0.129
3 Se 0.830 0.146 0.629
4 Se 0.670 0.146 0.871
5 Se 0.170 0.354 0.871
6 Se 0.330 0.354 0.629
7 Se 0.830 0.646 0.129
8 Se 0.670 0.646 0.371

=====

Se: optimized geometry, PBE.

abc: 7.034 6.766 7.978
angles: 79.90 85.71 63.08
Fractional positions:
1 Se 0.615 0.189 0.866
2 Se 0.037 0.329 0.730
3 Se 0.490 0.744 0.644
4 Se 0.510 0.256 0.356
5 Se 0.963 0.671 0.270
6 Se 0.385 0.810 0.134
7 Se 0.280 0.280 0.955
8 Se 0.221 0.065 0.526
9 Se 0.779 0.935 0.474
10 Se 0.720 0.720 0.045

=====

Se: optimized geometry, PBE.

abc: 10.962 10.962 4.380
angles: 90.00 90.00 120.00
Fractional positions:
1 Se 0.751 0.125 0.250
2 Se 0.626 0.751 0.750
3 Se 0.875 0.626 0.250
4 Se 0.249 0.875 0.750
5 Se 0.374 0.249 0.250
6 Se 0.125 0.374 0.750
7 Se 0.934 0.349 0.250
8 Se 0.585 0.934 0.750
9 Se 0.651 0.585 0.250
10 Se 0.066 0.651 0.750
11 Se 0.415 0.066 0.250
12 Se 0.349 0.415 0.750

=====

Se: optimized geometry, PBE.

abc: 10.535 9.366 15.339
angles: 53.49 90.00 90.00
Fractional positions:
1 Se 0.490 0.927 0.757
2 Se 0.990 0.073 0.743
3 Se 0.510 0.073 0.243
4 Se 0.010 0.927 0.257
5 Se 0.639 0.936 0.639
6 Se 0.139 0.064 0.861
7 Se 0.361 0.064 0.361
8 Se 0.861 0.936 0.139
9 Se 0.625 0.214 0.466
10 Se 0.125 0.786 0.034
11 Se 0.375 0.786 0.534
12 Se 0.875 0.214 0.966
13 Se 0.786 0.402 0.454
14 Se 0.286 0.598 0.046
15 Se 0.214 0.598 0.546
16 Se 0.714 0.402 0.954
17 Se 0.689 0.591 0.488
18 Se 0.189 0.409 0.012
19 Se 0.311 0.409 0.512
20 Se 0.811 0.591 0.988
21 Se 0.726 0.478 0.671
22 Se 0.226 0.522 0.829
23 Se 0.274 0.522 0.329
24 Se 0.774 0.478 0.171
25 Se 0.546 0.310 0.774
26 Se 0.046 0.690 0.726
27 Se 0.454 0.690 0.226
28 Se 0.954 0.310 0.274
29 Se 0.594 0.009 0.857
30 Se 0.094 0.991 0.643
31 Se 0.406 0.991 0.143
32 Se 0.906 0.009 0.357

=====

Se: optimized geometry, PBE.

abc: 5.113 5.652 5.719
angles: 78.83 69.85 89.43
Fractional positions:
1 Se 0.456 0.421 0.762
2 Se 0.006 0.951 0.621
3 Se 0.375 0.701 0.442
4 Se 0.083 0.110 0.941

=====

Se: optimized geometry, PBE.

abc: 12.457 12.457 5.873
angles: 90.00 90.00 90.00
Fractional positions:
1 Se 0.824 0.824 0.000
2 Se 0.824 0.676 0.250
3 Se 0.176 0.324 0.250
4 Se 0.176 0.176 0.000
5 Se 0.176 0.676 0.250
6 Se 0.176 0.824 0.000
7 Se 0.824 0.176 0.000
8 Se 0.824 0.324 0.250
9 Se 0.324 0.324 0.500
10 Se 0.324 0.176 0.750
11 Se 0.676 0.824 0.750
12 Se 0.676 0.676 0.500
13 Se 0.676 0.176 0.750
14 Se 0.676 0.324 0.500
15 Se 0.324 0.676 0.500
16 Se 0.324 0.824 0.750

=====

Se: optimized geometry, PBE.

abc: 8.519 2.760 4.560
angles: 90.08 90.00 90.00
Fractional positions:
1 Se 0.998 0.999 0.099
2 Se 0.498 0.001 0.901
3 Se 0.772 0.999 0.401
4 Se 0.272 0.001 0.599

=====

Se: optimized geometry, PBE.

abc: 5.194 5.807 5.213
angles: 90.00 90.57 90.00
Fractional positions:
1 Se 0.928 0.421 0.256
2 Se 0.072 0.921 0.744
3 Se 0.756 0.671 0.570
4 Se 0.244 0.171 0.430

=====

Se: optimized geometry, PBE.

abc: 6.625 6.625 6.625
angles: 112.60 112.60 112.60
Fractional positions:
1 Se 0.113 0.860 0.731
2 Se 0.860 0.731 0.113
3 Se 0.731 0.113 0.860
4 Se 0.887 0.140 0.269
5 Se 0.140 0.269 0.887
6 Se 0.269 0.887 0.140

=====

Se: optimized geometry, PBE.

abc: 4.774 4.774 4.774
angles: 147.96 147.96 45.94
Fractional positions:
1 Se 0.000 0.000 0.000

=====

Se: optimized geometry, PBE.

abc: 14.722 4.222 6.709
angles: 90.00 90.00 90.00
Fractional positions:
1 Se 0.799 0.298 0.710
2 Se 0.701 0.702 0.210
3 Se 0.201 0.298 0.710
4 Se 0.299 0.702 0.210
5 Se 0.000 0.927 0.477
6 Se 0.500 0.073 0.977
7 Se 0.797 0.291 0.221
8 Se 0.703 0.709 0.721
9 Se 0.203 0.291 0.221
10 Se 0.297 0.709 0.721
11 Se 0.000 0.461 0.663
12 Se 0.500 0.539 0.163

=====

Se: optimized geometry, PBE.

abc: 2.832 2.833 2.832
angles: 89.69 89.69 89.69
Fractional positions:
1 Se 0.500 0.500 0.500

=====

Se: optimized geometry, PBE.

abc: 4.227 2.766 5.291
angles: 90.00 113.45 90.00
Fractional positions:
1 Se 0.378 0.500 0.758
2 Se 0.622 0.500 0.242

=====

Se: optimized geometry, PBE.

abc: 12.773 12.773 3.378
angles: 90.00 90.00 90.00
Fractional positions:
1 Se 0.415 0.752 0.000
2 Se 0.585 0.248 0.000
3 Se 0.248 0.415 0.000
4 Se 0.752 0.585 0.000
5 Se 0.915 0.252 0.500
6 Se 0.085 0.748 0.500
7 Se 0.748 0.915 0.500
8 Se 0.252 0.085 0.500
9 Se 0.411 0.248 0.000
10 Se 0.589 0.752 0.000
11 Se 0.752 0.411 0.000
12 Se 0.248 0.589 0.000
13 Se 0.911 0.748 0.500
14 Se 0.089 0.252 0.500
15 Se 0.252 0.911 0.500
16 Se 0.748 0.089 0.500

=====

Se: optimized geometry, PBE.

abc: 4.478 4.478 4.478
angles: 60.00 60.00 60.00
Fractional positions:
1 Se 0.500 0.500 0.500
2 Se 0.750 0.750 0.750

=====

Se: optimized geometry, PBE.

abc: 5.221 5.446 5.464
angles: 117.42 92.17 92.01
Fractional positions:
1 Se 0.722 0.140 0.090
2 Se 0.041 0.336 0.895
3 Se 0.248 0.706 0.264
4 Se 0.568 0.511 0.459

=====

Se: optimized geometry, PBE.

abc: 5.124 3.750 5.022
angles: 90.01 87.65 111.47
Fractional positions:
1 Se 0.818 0.409 0.670
2 Se 0.182 0.591 0.330
3 Se 0.000 0.000 0.000

=====

Se: optimized geometry, PBE.

abc: 3.063 3.063 3.063
angles: 60.00 60.00 60.00
Fractional positions:
1 Se 0.000 0.000 0.000

=====

Se: optimized geometry, PBE.

abc: 8.602 8.602 6.098
angles: 90.00 90.00 90.00
Fractional positions:
1 Se 0.473 0.213 0.000
2 Se 0.473 0.787 0.500
3 Se 0.527 0.213 0.500
4 Se 0.527 0.787 0.000
5 Se 0.787 0.527 0.500
6 Se 0.787 0.473 0.000
7 Se 0.213 0.527 0.000
8 Se 0.213 0.473 0.500
9 Se 0.973 0.713 0.500
10 Se 0.973 0.287 0.000
11 Se 0.027 0.713 0.000
12 Se 0.027 0.287 0.500
13 Se 0.287 0.027 0.000
14 Se 0.287 0.973 0.500
15 Se 0.713 0.027 0.500
16 Se 0.713 0.973 0.000

=====

Se: optimized geometry, PBE.

abc: 3.771 3.771 7.336
angles: 90.00 90.00 120.00
Fractional positions:
1 Se 0.000 0.000 0.000
2 Se 0.667 0.333 0.750
3 Se 0.000 0.000 0.500
4 Se 0.333 0.667 0.250

=====

Results for VASP energy: -3.42; -3.32; -3.22; -3.48; -3.46; -3.44; -3.38; -3.46; -3.46; -3.28; -3.31; -3.31; -3.37; -3.23; -2.98; -3.46; -3.43; -2.76; -3.35; -3.19 (in eV per atom, following the order of the records).
Results for calculated volume: 34.0; 33.3; 38.0; 38.0; 38.0; 57.0; 26.8; 39.3; 32.3; 30.5; 34.7; 22.7; 28.4; 34.4; 31.8; 34.4; 29.9; 20.3; 28.2; 22.6 (in Å³/atom, following the order of the records).